1.
DFT (PBE) results for an optimized crystal structure of Zn4Si2O9.

It has space group Imm2 (No. 44), with a = 8.376 Å, b = 10.919 Å, c = 5.192 Å, α = 90.00°, β = 90.00° and γ = 90.00°. The distinct sites, in fractional coordinates, are Zn at (0.206, 0.159, 0.000), Si at (0.000, 0.146, 0.491), O at (0.000, 0.000, 0.417), O at (0.000, 0.170, 0.803), O at (0.162, 0.204, 0.362) and O at (0.200, 0.500, 0.448).

The uncorrected formation energy is -1.712 eV/atom. The value obtained for the density of states at the Fermi level is 2.16 states/eV/f.u. As for the crystal system: orthorhombic. As for the total energy: -172.5 eV for the cell shown.

2.
DFT (PBE) results for an optimized crystal structure of Nd6HoTm2.

It has space group C2/c (No. 15), with a = 16.391 Å, b = 11.844 Å, c = 6.246 Å, α = 90.00°, β = 96.15° and γ = 90.00°. The distinct sites, in fractional coordinates, are Nd at (0.048, 0.140, 0.014), Nd at (0.119, 0.359, 0.319), Nd at (0.215, 0.359, 0.847), Ho at (0.000, 0.400, 0.750) and Tm at (0.166, 0.100, 0.584).

The value obtained for the density of states at the Fermi level is 12.39 states/eV/f.u. As for the crystal system: monoclinic. As for the total energy: -165.5 eV for the cell shown. The value obtained for the energy above the most stable polymorph in this dataset is 0.0258 eV per atom.

3.
DFT (PBE) results for an optimized crystal structure of K3Nd2ThS6.

It has space group C2/m (No. 12), with a = 19.093 Å, b = 4.170 Å, c = 8.845 Å, α = 90.00°, β = 108.03° and γ = 90.00°. The distinct sites, in fractional coordinates, are K at (0.000, 0.000, 0.000), K at (0.169, 0.500, 0.334), Nd at (0.169, 0.500, 0.839), Th at (0.000, 0.000, 0.500), S at (0.007, 0.500, 0.723), S at (0.155, 0.000, 0.602) and S at (0.175, 0.000, 0.064).

The uncorrected formation energy is -1.795 eV/atom. The value obtained for the density of states at the Fermi level is 4.71 states/eV/f.u. As for the crystal system: monoclinic. As for the total energy: -133.1 eV for the cell shown.

Copy entry 3 word for word.
DFT (PBE) results for an optimized crystal structure of K3Nd2ThS6.

It has space group C2/m (No. 12), with a = 19.093 Å, b = 4.170 Å, c = 8.845 Å, α = 90.00°, β = 108.03° and γ = 90.00°. The distinct sites, in fractional coordinates, are K at (0.000, 0.000, 0.000), K at (0.169, 0.500, 0.334), Nd at (0.169, 0.500, 0.839), Th at (0.000, 0.000, 0.500), S at (0.007, 0.500, 0.723), S at (0.155, 0.000, 0.602) and S at (0.175, 0.000, 0.064).

The uncorrected formation energy is -1.795 eV/atom. The value obtained for the density of states at the Fermi level is 4.71 states/eV/f.u. As for the crystal system: monoclinic. As for the total energy: -133.1 eV for the cell shown.